Entry from the Alexandria database: a relaxed structure of GdScCuAg (PBE-GGA).

raw total energy = -7.05 eV per atom
theoretical density = 7.29 g/cm³

a b c (Å): 6.9825 6.9825 6.9825
angles (deg): 90.00 90.00 90.00
Closest atoms and distances in Å follow each position.
Space group F-43m (No. 216)
Inequivalent atoms, fractional coordinates:
1 Gd 0.0000 0.0000 0.0000 x4  4 Cu 3.02, 4 Ag 3.02
2 Sc 0.0000 0.0000 0.5000 x4  4 Ag 3.02, 4 Cu 3.02
3 Cu 0.2500 0.2500 0.7500 x4  4 Sc 3.02, 4 Gd 3.02
4 Ag 0.2500 0.2500 0.2500 x4  4 Gd 3.02, 4 Sc 3.02